Density functional theory data (PBE) for V3HgP after structural relaxation. Values from VASP.

Calculated values
Formation enthalpy at 0 K = 8.864 eV per formula unit
E above lowest polymorph = 7.866 eV/f.u.
Energy = -4.841 eV/atom
Total magnetization = 7.06 μB/f.u.

Structure (Quantum ESPRESSO input):
```
&SYSTEM
  ibrav = 0, nat = 5, ntyp = 3
/
ATOMIC_SPECIES
P 30.97 P.upf
Hg 200.59 Hg.upf
V 50.94 V.upf
CELL_PARAMETERS angstrom
4.932 0.000 0.000
0.000 4.932 0.000
0.000 0.000 4.932
ATOMIC_POSITIONS crystal
P 0.500 0.500 0.500
Hg 0.000 0.000 0.000
V 0.000 0.500 0.000
V 0.000 0.000 0.500
V 0.500 0.000 0.000
```